A plane-wave DFT calculation with GGA-PBE was carried out for a relaxed DyOsO4 crystal.

The symmetry is No. 14. The value obtained for the total energy is -8.013 eV/atom.

Lattice parameters (Å, degrees): 5.334 7.692 7.400 99.76 90.00 90.00
Sites, in units of the cell vectors:
O (0.478, 0.388, 0.323)
O (0.978, 0.612, 0.177)
O (0.419, 0.948, 0.803)
Os (0.729, 0.840, 0.703)
O (0.514, 0.312, 0.880)
Dy (0.714, 0.353, 0.609)
O (0.581, 0.052, 0.197)
Os (0.771, 0.840, 0.203)
Dy (0.786, 0.353, 0.109)
O (0.629, 0.832, 0.447)
O (0.129, 0.168, 0.053)
O (0.522, 0.612, 0.677)
O (0.871, 0.832, 0.947)
O (0.371, 0.168, 0.553)
O (0.486, 0.688, 0.120)
O (0.022, 0.388, 0.823)
O (0.986, 0.312, 0.380)
Dy (0.214, 0.647, 0.891)
O (0.919, 0.052, 0.697)
O (0.081, 0.948, 0.303)
O (0.014, 0.688, 0.620)
Os (0.229, 0.160, 0.797)
Dy (0.286, 0.647, 0.391)
Os (0.271, 0.160, 0.297)